Record 1
{
  "formula": "LaZrRe2",
  "functional": "GGA-PBE",
  "state": "optimized geometry",
  "lattice_angstrom": [[-2.948, -4.407, -2.647], [-0.679, -5.198, 2.763], [-0.955, 5.849, -0.012]],
  "species": ["La", "Re", "Zr", "Re"],
  "fractional_positions": [[0.765, 0.265, 0.500], [0.027, 0.027, 0.000], [0.488, 0.488, 0.000], [0.220, 0.720, 0.500]],
  "sg": "Imm2 (44)",
  "de_polymorph_mev_per_atom": 4,
  "magnetic_moment_mub_per_cell": 0.0
}

=====

Record 2
{
  "formula": "LaZr2Re",
  "functional": "GGA-PBE",
  "state": "optimized geometry",
  "lattice_angstrom": [[-3.610, 2.290, -2.575], [-4.351, 1.057, 2.204], [-1.186, 4.735, 1.037]],
  "species": ["La", "Zr", "Re", "Zr"],
  "fractional_positions": [[0.500, 0.500, 0.500], [0.000, 0.000, 0.000], [0.750, 0.750, 0.750], [0.250, 0.250, 0.250]],
  "sg": "F-43m (216)",
  "de_polymorph_mev_per_atom": 363,
  "magnetic_moment_mub_per_cell": 0.4
}